[1]
The following is a DFT calculation (meta-GGA SCAN) of a crystal of LuSeClO3 relaxed with PBEsol.

Cell: 7.042 6.765 8.612 Å, 90.00 90.00 90.00°
Positions (direct):
Lu  0.098  0.250  0.040
Lu  0.402  0.750  0.540
Lu  0.598  0.250  0.460
Lu  0.902  0.750  0.960
Se  0.202  0.250  0.634
Se  0.298  0.750  0.134
Se  0.702  0.250  0.866
Se  0.798  0.750  0.366
Cl  0.062  0.750  0.682
Cl  0.438  0.250  0.182
Cl  0.562  0.750  0.818
Cl  0.938  0.250  0.318
O  0.142  0.570  0.066
O  0.142  0.930  0.066
O  0.250  0.250  0.826
O  0.250  0.750  0.326
O  0.358  0.070  0.566
O  0.358  0.430  0.566
O  0.642  0.570  0.434
O  0.642  0.930  0.434
O  0.750  0.250  0.674
O  0.750  0.750  0.174
O  0.858  0.070  0.934
O  0.858  0.430  0.934

Computed properties:
Its formation energy from raw total energies is -2.2638 eV/atom. Its total energy is -462.71 eV/cell. The total magnetization is 0.00 μB/f.u.

---

[2]
The following is a DFT calculation (meta-GGA SCAN) of a crystal of Rb2LuCl5 relaxed with PBEsol.

Cell: 9.222 7.147 14.502 Å, 90.00 90.00 90.00°
Positions (direct):
Rb  0.033  0.250  0.208
Rb  0.171  0.750  0.414
Rb  0.329  0.250  0.914
Rb  0.467  0.750  0.708
Rb  0.533  0.250  0.292
Rb  0.671  0.750  0.086
Rb  0.829  0.250  0.586
Rb  0.967  0.750  0.792
Lu  0.186  0.750  0.062
Lu  0.314  0.250  0.562
Lu  0.686  0.750  0.438
Lu  0.814  0.250  0.938
Cl  0.000  0.000  0.000
Cl  0.000  0.500  0.000
Cl  0.031  0.750  0.205
Cl  0.153  0.509  0.614
Cl  0.153  0.991  0.614
Cl  0.217  0.250  0.397
Cl  0.283  0.750  0.897
Cl  0.347  0.009  0.114
Cl  0.347  0.491  0.114
Cl  0.469  0.250  0.705
Cl  0.500  0.000  0.500
Cl  0.500  0.500  0.500
Cl  0.531  0.750  0.295
Cl  0.653  0.509  0.886
Cl  0.653  0.991  0.886
Cl  0.717  0.250  0.103
Cl  0.783  0.750  0.603
Cl  0.847  0.009  0.386
Cl  0.847  0.491  0.386
Cl  0.969  0.250  0.795

Computed properties:
Its formation energy from raw total energies is -2.4131 eV/atom. Its total energy is -624.07 eV/cell. The total magnetization is 0.00 μB/f.u.

---

[3]
The following is a DFT calculation (meta-GGA SCAN) of a crystal of MgCl5 relaxed with PBEsol.

Cell: 7.398 7.398 6.672 Å, 106.46 106.46 27.17°
Positions (direct):
Mg  0.000  0.000  0.000
Cl  0.206  0.206  0.176
Cl  0.264  0.264  0.489
Cl  0.479  0.479  0.238
Cl  0.557  0.557  0.808
Cl  0.824  0.824  0.830

Computed properties:
Its formation energy from raw total energies is -0.8244 eV/atom. Its total energy is -49.81 eV/cell. The total magnetization is 1.03 μB/f.u.

---

[4]
The following is a DFT calculation (meta-GGA SCAN) of a crystal of MgCl3 relaxed with PBEsol.

Cell: 4.311 4.311 4.311 Å, 90.00 90.00 90.00°
Positions (direct):
Mg  0.000  0.000  0.000
Cl  0.000  0.500  0.500
Cl  0.500  0.000  0.500
Cl  0.500  0.500  0.000

Computed properties:
Its formation energy from raw total energies is -0.6221 eV/atom. Its total energy is -31.40 eV/cell. The total magnetization is 1.01 μB/f.u.

---

[5]
The following is a DFT calculation (meta-GGA SCAN) of a crystal of MgCl relaxed with PBEsol.

Cell: 4.393 4.393 5.159 Å, 90.00 90.00 90.00°
Positions (direct):
Mg  0.250  0.750  0.000
Mg  0.750  0.250  0.000
Cl  0.250  0.250  0.340
Cl  0.750  0.750  0.660

Computed properties:
Its formation energy from raw total energies is -0.6545 eV/atom. Its total energy is -28.52 eV/cell. The total magnetization is 0.00 μB/f.u.

---

[6]
The following is a DFT calculation (meta-GGA SCAN) of a crystal of MgCl relaxed with PBEsol.

Cell: 3.450 3.450 4.011 Å, 90.00 90.00 120.00°
Positions (direct):
Mg  0.000  0.000  0.000
Cl  0.667  0.333  0.500

Computed properties:
Its formation energy from raw total energies is -0.8218 eV/atom. Its total energy is -14.60 eV/cell. The total magnetization is 0.67 μB/f.u.

---

[7]
The following is a DFT calculation (meta-GGA SCAN) of a crystal of MgCl3 relaxed with PBEsol.

Cell: 5.766 5.766 5.766 Å, 140.08 140.08 57.73°
Positions (direct):
Mg  0.000  0.000  0.000
Cl  0.250  0.750  0.500
Cl  0.500  0.500  0.000
Cl  0.750  0.250  0.500

Computed properties:
Its formation energy from raw total energies is -0.7394 eV/atom. Its total energy is -31.86 eV/cell. The total magnetization is 0.00 μB/f.u.

---

[8]
The following is a DFT calculation (meta-GGA SCAN) of a crystal of MgCl relaxed with PBEsol.

Cell: 5.633 5.633 3.445 Å, 90.00 90.00 123.62°
Positions (direct):
Mg  0.126  0.874  0.750
Mg  0.874  0.126  0.250
Cl  0.317  0.683  0.250
Cl  0.683  0.317  0.750

Computed properties:
Its formation energy from raw total energies is -1.3390 eV/atom. Its total energy is -31.26 eV/cell. The total magnetization is 0.00 μB/f.u.

---

[9]
The following is a DFT calculation (meta-GGA SCAN) of a crystal of MgCl relaxed with PBEsol.

Cell: 5.886 5.886 7.605 Å, 90.00 90.00 120.00°
Positions (direct):
Mg  0.000  0.000  0.250
Mg  0.000  0.000  0.750
Mg  0.333  0.667  0.250
Mg  0.667  0.333  0.750
Cl  0.333  0.667  0.546
Cl  0.333  0.667  0.954
Cl  0.667  0.333  0.046
Cl  0.667  0.333  0.454

Computed properties:
Its formation energy from raw total energies is -0.7430 eV/atom. Its total energy is -57.75 eV/cell. The total magnetization is 0.00 μB/f.u.

---

[10]
The following is a DFT calculation (meta-GGA SCAN) of a crystal of MgCl3 relaxed with PBEsol.

Cell: 3.882 3.882 6.355 Å, 90.00 90.00 90.00°
Positions (direct):
Mg  0.000  0.000  0.000
Cl  0.000  0.500  0.737
Cl  0.500  0.000  0.737
Cl  0.500  0.500  0.180

Computed properties:
Its formation energy from raw total energies is -0.9772 eV/atom. Its total energy is -32.82 eV/cell. The total magnetization is 0.00 μB/f.u.

---

[11]
The following is a DFT calculation (meta-GGA SCAN) of a crystal of MgCl3 relaxed with PBEsol.

Cell: 6.190 6.190 6.190 Å, 147.54 131.79 59.32°
Positions (direct):
Mg  0.000  0.000  0.000
Cl  0.159  0.659  0.500
Cl  0.500  0.500  0.000
Cl  0.841  0.341  0.500

Computed properties:
Its formation energy from raw total energies is -1.1765 eV/atom. Its total energy is -33.61 eV/cell. The total magnetization is 1.01 μB/f.u.

---

[12]
The following is a DFT calculation (meta-GGA SCAN) of a crystal of Mg2Cl relaxed with PBEsol.

Cell: 4.905 4.905 4.905 Å, 60.00 60.00 60.00°
Positions (direct):
Mg  0.250  0.250  0.250
Mg  0.750  0.750  0.750
Cl  0.000  0.000  0.000

Computed properties:
Its formation energy from raw total energies is 0.1178 eV/atom. Its total energy is -17.57 eV/cell. The total magnetization is 0.92 μB/f.u.

---

[13]
The following is a DFT calculation (meta-GGA SCAN) of a crystal of MgMnCl2 relaxed with PBEsol.

Cell: 3.265 3.265 8.595 Å, 90.00 90.00 108.93°
Positions (direct):
Mg  0.000  0.000  0.000
Mn  0.500  0.500  0.738
Cl  0.000  0.000  0.568
Cl  0.500  0.500  0.174

Computed properties:
Its formation energy from raw total energies is -1.0251 eV/atom. For the energy above the most stable polymorph in this dataset, the calculation gives 0 meV per atom. Its total energy is -43.28 eV/cell. The total magnetization is 4.63 μB/f.u.

---

[14]
The following is a DFT calculation (meta-GGA SCAN) of a crystal of MgMnCl3 relaxed with PBEsol.

Cell: 4.899 4.899 4.899 Å, 90.00 90.00 90.00°
Positions (direct):
Mg  0.000  0.000  0.000
Mn  0.500  0.500  0.500
Cl  0.000  0.500  0.500
Cl  0.500  0.000  0.500
Cl  0.500  0.500  0.000

Computed properties:
Its formation energy from raw total energies is -1.1101 eV/atom. Its total energy is -52.71 eV/cell. The total magnetization is 4.04 μB/f.u.

---

[15]
The following is a DFT calculation (meta-GGA SCAN) of a crystal of MgMnCl2 relaxed with PBEsol.

Cell: 5.762 5.762 5.762 Å, 147.91 118.32 71.24°
Positions (direct):
Mg  0.000  0.000  0.000
Mn  0.261  0.761  0.500
Cl  0.460  0.460  0.000
Cl  0.800  0.300  0.500

Computed properties:
Its formation energy from raw total energies is -0.9377 eV/atom. For the energy above the most stable polymorph in this dataset, the calculation gives 87 meV per atom. Its total energy is -42.94 eV/cell. The total magnetization is 5.00 μB/f.u.

---

[16]
The following is a DFT calculation (meta-GGA SCAN) of a crystal of Na2MgMnCl relaxed with PBEsol.

Cell: 5.717 5.717 5.270 Å, 90.00 90.00 90.00°
Positions (direct):
Na  0.000  0.500  0.000
Na  0.500  0.000  0.000
Mg  0.000  0.000  0.500
Mn  0.000  0.000  0.000
Cl  0.500  0.500  0.500

Computed properties:
Its formation energy from raw total energies is 0.2070 eV/atom. Its total energy is -38.60 eV/cell. The total magnetization is 5.31 μB/f.u.

---

[17]
The following is a DFT calculation (meta-GGA SCAN) of a crystal of MgMnSCl2 relaxed with PBEsol.

Cell: 4.658 4.658 4.801 Å, 90.00 90.00 90.00°
Positions (direct):
Mg  0.000  0.000  0.000
Mn  0.500  0.500  0.500
S  0.500  0.500  0.000
Cl  0.000  0.500  0.500
Cl  0.500  0.000  0.500

Computed properties:
Its formation energy from raw total energies is -0.9027 eV/atom. Its total energy is -53.33 eV/cell. The total magnetization is 4.73 μB/f.u.

---

[18]
The following is a DFT calculation (meta-GGA SCAN) of a crystal of Mg2MoCl relaxed with PBEsol.

Cell: 5.618 5.618 5.618 Å, 138.80 138.80 59.68°
Positions (direct):
Mg  0.000  0.000  0.000
Mg  0.750  0.250  0.500
Mo  0.500  0.500  0.000
Cl  0.250  0.750  0.500

Computed properties:
Its formation energy from raw total energies is 0.4035 eV/atom. For the energy above the most stable polymorph in this dataset, the calculation gives 277 meV per atom. Its total energy is -51.20 eV/cell. The total magnetization is 3.11 μB/f.u.

---

[19]
The following is a DFT calculation (meta-GGA SCAN) of a crystal of Mg2MoCl relaxed with PBEsol.

Cell: 5.769 5.769 5.769 Å, 149.63 128.95 60.56°
Positions (direct):
Mg  0.000  0.000  0.000
Mg  0.701  0.201  0.500
Mo  0.453  0.453  0.000
Cl  0.270  0.770  0.500

Computed properties:
Its formation energy from raw total energies is 0.1263 eV/atom. For the energy above the most stable polymorph in this dataset, the calculation gives 0 meV per atom. Its total energy is -52.31 eV/cell. The total magnetization is 0.00 μB/f.u.

---

[20]
The following is a DFT calculation (meta-GGA SCAN) of a crystal of Mg2MoCl relaxed with PBEsol.

Cell: 5.129 5.129 2.878 Å, 90.00 90.00 110.80°
Positions (direct):
Mg  0.000  0.500  0.000
Mg  0.500  0.000  0.000
Mo  0.000  0.000  0.500
Cl  0.500  0.500  0.500

Computed properties:
Its formation energy from raw total energies is 0.1682 eV/atom. For the energy above the most stable polymorph in this dataset, the calculation gives 42 meV per atom. Its total energy is -52.14 eV/cell. The total magnetization is 0.00 μB/f.u.